Material: MnCoAs4
Method: DFT, PBE
State: optimized geometry

* raw total energy: -30.29 eV per formula unit
* E above lowest polymorph: 879 meV/atom
* DOS at the Fermi energy: 0.913 states/eV/atom
* symmetry: No. 216

a b c (Å): 5.4430 5.4430 5.4430
angles (deg): 60.00 60.00 60.00
With the nearest neighbours (Å) after each atom.
Atoms (fractional coordinates):
1 Mn 0.0000 0.0000 0.0000  12 As 3.19, 4 Co 3.33
2 Co 0.2500 0.2500 0.2500  12 As 3.19, 4 Mn 3.33
3 As 0.1260 0.6247 0.6247  6 As 2.71-2.73
4 As 0.6247 0.1260 0.6247  6 As 2.71-2.73
5 As 0.6247 0.6247 0.1260  6 As 2.71-2.73
6 As 0.6247 0.6247 0.6247  6 As 2.71-2.73